## PIrWO2 (GGA+U)

Data for a relaxed structure of PIrWO2.

- SG = P4/mmm, No. 123
- total DFT energy (no corrections) (eV for the cell shown) = -30.7
- DOS at the Fermi energy (states/eV/atom) = 0.539

a = 3.758 Å, b = 3.758 Å, c = 5.556 Å
α = 90.00°, β = 90.00°, γ = 90.00°
Atoms (fractional coordinates):
1 P 0.000 0.000 0.500
2 O 0.500 0.000 0.000
3 O 0.000 0.500 0.000
4 W 0.500 0.500 0.500
5 Ir 0.000 0.000 0.000

## P2IrWO (GGA+U)

Data for a relaxed structure of P2IrWO.

- SG = P4/mmm, No. 123
- total DFT energy (no corrections) (eV for the cell shown) = -29.3
- DOS at the Fermi energy (states/eV/atom) = 0.660

a = 4.834 Å, b = 4.834 Å, c = 3.656 Å
α = 90.00°, β = 90.00°, γ = 90.00°
Atoms (fractional coordinates):
1 O 0.000 0.000 0.500
2 W 0.500 0.500 0.500
3 Ir 0.000 0.000 0.000
4 P 0.000 0.500 0.000
5 P 0.500 0.000 0.000

## P2IrWO (GGA+U)

Data for a relaxed structure of P2IrWO.

- SG = P4/mmm, No. 123
- total DFT energy (no corrections) (eV for the cell shown) = -29.5
- DOS at the Fermi energy (states/eV/atom) = 0.745

a = 4.853 Å, b = 4.853 Å, c = 3.700 Å
α = 90.00°, β = 90.00°, γ = 90.00°
Atoms (fractional coordinates):
1 W 0.000 0.000 0.000
2 P 0.000 0.500 0.000
3 P 0.500 0.000 0.000
4 Ir 0.500 0.500 0.500
5 O 0.000 0.000 0.500

## PIrWO2 (GGA+U)

Data for a relaxed structure of PIrWO2.

- SG = P4/mmm, No. 123
- total DFT energy (no corrections) (eV for the cell shown) = -33.1
- DOS at the Fermi energy (states/eV/atom) = 0.825

a = 3.763 Å, b = 3.763 Å, c = 5.487 Å
α = 90.00°, β = 90.00°, γ = 90.00°
Atoms (fractional coordinates):
1 O 0.500 0.000 0.000
2 O 0.000 0.500 0.000
3 P 0.000 0.000 0.500
4 W 0.000 0.000 0.000
5 Ir 0.500 0.500 0.500